Record 1
# GeHPtAu2, optimized geometry, DFT PBE
# DOS at the Fermi energy (states/eV per cell): 1.72
# Final energy (eV/cell): -19.47
# Space-group type: P4/mmm
data_GeHPtAu2
_symmetry_space_group_name_H-M 'P 1'
_symmetry_Int_Tables_number 1
_cell_length_a 3.915
_cell_length_b 4.932
_cell_length_c 3.915
_cell_angle_alpha 90.00
_cell_angle_beta 90.00
_cell_angle_gamma 90.00
loop_
_symmetry_equiv_pos_as_xyz
'x,y,z'
loop_
_atom_site_label
_atom_site_type_symbol
_atom_site_fract_x
_atom_site_fract_y
_atom_site_fract_z
_atom_site_occupancy
Au1 Au 0.500 0.000 0.000 1
Au2 Au 0.000 0.000 0.500 1
Pt1 Pt 0.500 0.500 0.500 1
H1 H 0.000 0.000 0.000 1
Ge1 Ge 0.000 0.500 0.000 1

---

Record 2
# TbNi4Sb2, optimized geometry, DFT PBE
# DOS at the Fermi energy (states/eV per cell): 7.63
# Final energy (eV/cell): -77.90
# Space-group type: P4_2/mnm
data_TbNi4Sb2
_symmetry_space_group_name_H-M 'P 1'
_symmetry_Int_Tables_number 1
_cell_length_a 4.057
_cell_length_b 7.539
_cell_length_c 7.539
_cell_angle_alpha 90.00
_cell_angle_beta 90.00
_cell_angle_gamma 90.00
loop_
_symmetry_equiv_pos_as_xyz
'x,y,z'
loop_
_atom_site_label
_atom_site_type_symbol
_atom_site_fract_x
_atom_site_fract_y
_atom_site_fract_z
_atom_site_occupancy
Ni1 Ni 0.000 0.362 0.093 1
Ni2 Ni 0.000 0.093 0.362 1
Ni3 Ni 0.500 0.407 0.862 1
Ni4 Ni 0.500 0.138 0.593 1
Ni5 Ni 0.500 0.593 0.138 1
Ni6 Ni 0.500 0.862 0.407 1
Ni7 Ni 0.000 0.638 0.907 1
Ni8 Ni 0.000 0.907 0.638 1
Sb1 Sb 0.500 0.717 0.717 1
Sb2 Sb 0.000 0.217 0.783 1
Sb3 Sb 0.000 0.783 0.217 1
Sb4 Sb 0.500 0.283 0.283 1
Tb1 Tb 0.500 0.000 0.000 1
Tb2 Tb 0.000 0.500 0.500 1

---

Record 3
# Tl2NiAs, optimized geometry, DFT PBE
# DOS at the Fermi energy (states/eV per cell): 2.50
# E_form (eV per atom): 0.04
# Final energy (eV/cell): -15.01
# Space-group type: Amm2
data_Tl2NiAs
_symmetry_space_group_name_H-M 'P 1'
_symmetry_Int_Tables_number 1
_cell_length_a 3.786
_cell_length_b 5.541
_cell_length_c 5.541
_cell_angle_alpha 55.71
_cell_angle_beta 90.00
_cell_angle_gamma 90.00
loop_
_symmetry_equiv_pos_as_xyz
'x,y,z'
loop_
_atom_site_label
_atom_site_type_symbol
_atom_site_fract_x
_atom_site_fract_y
_atom_site_fract_z
_atom_site_occupancy
Ni1 Ni 0.500 0.713 0.713 1
Tl1 Tl 0.500 0.277 0.277 1
Tl2 Tl 0.000 0.931 0.931 1
As1 As 0.000 0.579 0.579 1

---

Record 4
# CuTe2Pb2, optimized geometry, DFT PBE
# DOS at the Fermi energy (states/eV per cell): 5.86
# Final energy (eV/cell): -34.89
# Space-group type: P4/mbm
data_CuTe2Pb2
_symmetry_space_group_name_H-M 'P 1'
_symmetry_Int_Tables_number 1
_cell_length_a 7.492
_cell_length_b 7.492
_cell_length_c 5.297
_cell_angle_alpha 90.00
_cell_angle_beta 90.00
_cell_angle_gamma 90.00
loop_
_symmetry_equiv_pos_as_xyz
'x,y,z'
loop_
_atom_site_label
_atom_site_type_symbol
_atom_site_fract_x
_atom_site_fract_y
_atom_site_fract_z
_atom_site_occupancy
Pb1 Pb 0.158 0.658 0.500 1
Pb2 Pb 0.342 0.158 0.500 1
Pb3 Pb 0.658 0.842 0.500 1
Pb4 Pb 0.842 0.342 0.500 1
Te1 Te 0.316 0.816 0.000 1
Te2 Te 0.816 0.684 0.000 1
Te3 Te 0.184 0.316 0.000 1
Te4 Te 0.684 0.184 0.000 1
Cu1 Cu 0.000 0.000 0.000 1
Cu2 Cu 0.500 0.500 0.000 1

---

Record 5
# SrLiAgSn2, optimized geometry, DFT PBE
# DOS at the Fermi energy (states/eV per cell): 2.29
# E_form (eV per atom): -0.43
# Final energy (eV/cell): -16.62
# Space-group type: I-4m2
data_SrLiAgSn2
_symmetry_space_group_name_H-M 'P 1'
_symmetry_Int_Tables_number 1
_cell_length_a 4.647
_cell_length_b 4.647
_cell_length_c 6.826
_cell_angle_alpha 109.90
_cell_angle_beta 109.90
_cell_angle_gamma 90.00
loop_
_symmetry_equiv_pos_as_xyz
'x,y,z'
loop_
_atom_site_label
_atom_site_type_symbol
_atom_site_fract_x
_atom_site_fract_y
_atom_site_fract_z
_atom_site_occupancy
Sn1 Sn 0.618 0.618 0.237 1
Sn2 Sn 0.382 0.382 0.763 1
Li1 Li 0.750 0.250 0.500 1
Ag1 Ag 0.250 0.750 0.500 1
Sr1 Sr 0.000 0.000 0.000 1

---

Record 6
# La12AlCo6, optimized geometry, DFT PBE
# DOS at the Fermi energy (states/eV per cell): 17.87
# E_form (eV per atom): -0.14
# Final energy (eV/cell): -108.23
# Space-group type: Im-3
data_La12AlCo6
_symmetry_space_group_name_H-M 'P 1'
_symmetry_Int_Tables_number 1
_cell_length_a 8.751
_cell_length_b 8.751
_cell_length_c 8.751
_cell_angle_alpha 109.47
_cell_angle_beta 109.47
_cell_angle_gamma 109.47
loop_
_symmetry_equiv_pos_as_xyz
'x,y,z'
loop_
_atom_site_label
_atom_site_type_symbol
_atom_site_fract_x
_atom_site_fract_y
_atom_site_fract_z
_atom_site_occupancy
La1 La 0.189 0.691 0.880 1
La2 La 0.691 0.501 0.811 1
La3 La 0.811 0.691 0.501 1
La4 La 0.811 0.309 0.120 1
La5 La 0.691 0.880 0.189 1
La6 La 0.120 0.811 0.309 1
La7 La 0.309 0.499 0.189 1
La8 La 0.880 0.189 0.691 1
La9 La 0.189 0.309 0.499 1
La10 La 0.501 0.811 0.691 1
La11 La 0.499 0.189 0.309 1
La12 La 0.309 0.120 0.811 1
Al1 Al 0.000 0.000 0.000 1
Co1 Co 0.119 0.619 0.500 1
Co2 Co 0.500 0.881 0.381 1
Co3 Co 0.881 0.381 0.500 1
Co4 Co 0.500 0.119 0.619 1
Co5 Co 0.619 0.500 0.119 1
Co6 Co 0.381 0.500 0.881 1

---

Record 7
# LaSm12Tm6, optimized geometry, DFT PBE
# DOS at the Fermi energy (states/eV per cell): 37.80
# E_form (eV per atom): 0.19
# Final energy (eV/cell): -84.69
# Space-group type: R-3m
data_LaSm12Tm6
_symmetry_space_group_name_H-M 'P 1'
_symmetry_Int_Tables_number 1
_cell_length_a 8.779
_cell_length_b 8.779
_cell_length_c 8.779
_cell_angle_alpha 99.00
_cell_angle_beta 99.00
_cell_angle_gamma 99.00
loop_
_symmetry_equiv_pos_as_xyz
'x,y,z'
loop_
_atom_site_label
_atom_site_type_symbol
_atom_site_fract_x
_atom_site_fract_y
_atom_site_fract_z
_atom_site_occupancy
Tm1 Tm 0.897 0.897 0.339 1
Tm2 Tm 0.897 0.339 0.897 1
Tm3 Tm 0.661 0.103 0.103 1
Tm4 Tm 0.339 0.897 0.897 1
Tm5 Tm 0.103 0.661 0.103 1
Tm6 Tm 0.103 0.103 0.661 1
La1 La 0.000 0.000 0.000 1
Sm1 Sm 0.919 0.646 0.646 1
Sm2 Sm 0.646 0.919 0.646 1
Sm3 Sm 0.354 0.081 0.354 1
Sm4 Sm 0.500 0.758 0.242 1
Sm5 Sm 0.354 0.354 0.081 1
Sm6 Sm 0.242 0.758 0.500 1
Sm7 Sm 0.500 0.242 0.758 1
Sm8 Sm 0.758 0.500 0.242 1
Sm9 Sm 0.081 0.354 0.354 1
Sm10 Sm 0.242 0.500 0.758 1
Sm11 Sm 0.646 0.646 0.919 1
Sm12 Sm 0.758 0.242 0.500 1

---

Record 8
# As2WCl, optimized geometry, DFT PBE
# DOS at the Fermi energy (states/eV per cell): 2.48
# Final energy (eV/cell): -22.61
# Space-group type: P4mm
data_As2WCl
_symmetry_space_group_name_H-M 'P 1'
_symmetry_Int_Tables_number 1
_cell_length_a 3.000
_cell_length_b 3.000
_cell_length_c 9.406
_cell_angle_alpha 90.00
_cell_angle_beta 90.00
_cell_angle_gamma 90.00
loop_
_symmetry_equiv_pos_as_xyz
'x,y,z'
loop_
_atom_site_label
_atom_site_type_symbol
_atom_site_fract_x
_atom_site_fract_y
_atom_site_fract_z
_atom_site_occupancy
W1 W 0.500 0.500 0.768 1
Cl1 Cl 0.000 0.000 0.596 1
As1 As 0.000 0.000 0.933 1
As2 As 0.500 0.500 0.203 1

---

Record 9
# SiIr2Cl, optimized geometry, DFT PBE
# DOS at the Fermi energy (states/eV per cell): 3.26
# Final energy (eV/cell): -23.35
# Space-group type: Cmm2
data_SiIr2Cl
_symmetry_space_group_name_H-M 'P 1'
_symmetry_Int_Tables_number 1
_cell_length_a 2.865
_cell_length_b 2.865
_cell_length_c 10.173
_cell_angle_alpha 90.00
_cell_angle_beta 90.00
_cell_angle_gamma 122.47
loop_
_symmetry_equiv_pos_as_xyz
'x,y,z'
loop_
_atom_site_label
_atom_site_type_symbol
_atom_site_fract_x
_atom_site_fract_y
_atom_site_fract_z
_atom_site_occupancy
Cl1 Cl 0.500 0.500 0.811 1
Si1 Si 0.000 0.000 0.440 1
Ir1 Ir 0.000 0.000 0.011 1
Ir2 Ir 0.500 0.500 0.238 1

---

Record 10
# Li2CeCuS4, optimized geometry, DFT PBE
# DOS at the Fermi energy (states/eV per cell): 8.20
# Final energy (eV/cell): -78.56
# Space-group type: Cmcm
data_Li2CeCuS4
_symmetry_space_group_name_H-M 'P 1'
_symmetry_Int_Tables_number 1
_cell_length_a 3.861
_cell_length_b 6.605
_cell_length_c 12.304
_cell_angle_alpha 90.00
_cell_angle_beta 90.00
_cell_angle_gamma 107.00
loop_
_symmetry_equiv_pos_as_xyz
'x,y,z'
loop_
_atom_site_label
_atom_site_type_symbol
_atom_site_fract_x
_atom_site_fract_y
_atom_site_fract_z
_atom_site_occupancy
Li1 Li 0.606 0.212 0.447 1
Li2 Li 0.606 0.212 0.053 1
Li3 Li 0.394 0.788 0.947 1
Li4 Li 0.394 0.788 0.553 1
S1 S 0.690 0.380 0.874 1
S2 S 0.578 0.156 0.250 1
S3 S 0.422 0.844 0.750 1
S4 S 0.000 0.000 0.000 1
S5 S 0.310 0.620 0.374 1
S6 S 0.690 0.380 0.626 1
S7 S 0.310 0.620 0.126 1
S8 S 0.000 0.000 0.500 1
Ce1 Ce 0.914 0.827 0.250 1
Ce2 Ce 0.086 0.173 0.750 1
Cu1 Cu 0.822 0.645 0.750 1
Cu2 Cu 0.178 0.355 0.250 1

---

Record 11
# Mg2AlAg3, optimized geometry, DFT PBE
# DOS at the Fermi energy (states/eV per cell): 3.01
# E_form (eV per atom): -0.19
# Final energy (eV/cell): -33.28
# Space-group type: Cmmm
data_Mg2AlAg3
_symmetry_space_group_name_H-M 'P 1'
_symmetry_Int_Tables_number 1
_cell_length_a 4.658
_cell_length_b 7.361
_cell_length_c 6.547
_cell_angle_alpha 90.00
_cell_angle_beta 90.00
_cell_angle_gamma 71.56
loop_
_symmetry_equiv_pos_as_xyz
'x,y,z'
loop_
_atom_site_label
_atom_site_type_symbol
_atom_site_fract_x
_atom_site_fract_y
_atom_site_fract_z
_atom_site_occupancy
Mg1 Mg 0.000 0.000 0.500 1
Mg2 Mg 0.665 0.670 0.500 1
Mg3 Mg 0.000 0.000 0.000 1
Mg4 Mg 0.335 0.330 0.500 1
Ag1 Ag 0.171 0.657 0.237 1
Ag2 Ag 0.171 0.657 0.763 1
Ag3 Ag 0.500 0.000 0.245 1
Ag4 Ag 0.829 0.343 0.763 1
Ag5 Ag 0.829 0.343 0.237 1
Ag6 Ag 0.500 0.000 0.755 1
Al1 Al 0.662 0.676 0.000 1
Al2 Al 0.338 0.324 0.000 1

---

Record 12
# La2SnRhC, optimized geometry, DFT PBE
# DOS at the Fermi energy (states/eV per cell): 5.43
# E_form (eV per atom): -0.46
# Final energy (eV/cell): -32.72
# Space-group type: P4/mmm
data_La2SnRhC
_symmetry_space_group_name_H-M 'P 1'
_symmetry_Int_Tables_number 1
_cell_length_a 5.464
_cell_length_b 5.464
_cell_length_c 3.955
_cell_angle_alpha 90.00
_cell_angle_beta 90.00
_cell_angle_gamma 90.00
loop_
_symmetry_equiv_pos_as_xyz
'x,y,z'
loop_
_atom_site_label
_atom_site_type_symbol
_atom_site_fract_x
_atom_site_fract_y
_atom_site_fract_z
_atom_site_occupancy
La1 La 0.500 0.000 0.000 1
La2 La 0.000 0.500 0.000 1
C1 C 0.000 0.000 0.000 1
Rh1 Rh 0.000 0.000 0.500 1
Sn1 Sn 0.500 0.500 0.500 1